(1)
# SrLiGaAu GGA-PBE relaxed
data_SrLiGaAu
_cell_length_a 4.5535
_cell_length_b 4.5631
_cell_length_c 5.9807
_cell_angle_alpha 112.25
_cell_angle_beta 90.00
_cell_angle_gamma 119.93
_symmetry_space_group_name_H-M 'P 1'
_symmetry_Int_Tables_number 1
_symmetry_space_group_name_Hall 'P 1'
loop_
_atom_site_label
_atom_site_type_symbol
_atom_site_fract_x
_atom_site_fract_y
_atom_site_fract_z
_atom_site_occupancy
Au1 Au 0.4241 0.8481 0.9147 1
Ga1 Ga 0.1045 0.2089 0.9550 1
Sr1 Sr 0.6239 0.2478 0.5136 1
Li1 Li 0.8139 0.6278 0.0841 1
# offset from the most stable computed form = 0 meV/atom
# total magnetic moment = 0.0 μB per cell
# density of states at the Fermi level = 2.8 states/eV per cell
# electronic total energy = -12.003 eV for the cell shown
# calculated formation energy = -525.7 meV per atom

---

(2)
# Pb2CO3F2 GGA-PBE relaxed
data_Pb2CO3F2
_cell_length_a 7.0423
_cell_length_b 8.1722
_cell_length_c 8.3847
_cell_angle_alpha 90.00
_cell_angle_beta 90.00
_cell_angle_gamma 90.00
_symmetry_space_group_name_H-M 'P 1'
_symmetry_Int_Tables_number 1
_symmetry_space_group_name_Hall 'P 1'
loop_
_atom_site_label
_atom_site_type_symbol
_atom_site_fract_x
_atom_site_fract_y
_atom_site_fract_z
_atom_site_occupancy
Pb1 Pb 0.0584 0.6837 0.6591 1
Pb2 Pb 0.9416 0.3163 0.3409 1
Pb3 Pb 0.5584 0.8163 0.8409 1
Pb4 Pb 0.4416 0.3163 0.6591 1
Pb5 Pb 0.4416 0.1837 0.1591 1
Pb6 Pb 0.0584 0.8163 0.1591 1
Pb7 Pb 0.5584 0.6837 0.3409 1
Pb8 Pb 0.9416 0.1837 0.8409 1
O1 O 0.8052 0.3701 0.0574 1
O2 O 0.6948 0.8701 0.5574 1
O3 O 0.2500 0.5000 0.1749 1
O4 O 0.3052 0.3701 0.9426 1
O5 O 0.6948 0.6299 0.0574 1
O6 O 0.3052 0.1299 0.4426 1
O7 O 0.1948 0.8701 0.4426 1
O8 O 0.1948 0.6299 0.9426 1
O9 O 0.7500 0.5000 0.8251 1
O10 O 0.7500 0.0000 0.3251 1
O11 O 0.2500 0.0000 0.6749 1
O12 O 0.8052 0.1299 0.5574 1
F1 F 0.6011 0.3866 0.3864 1
F2 F 0.3989 0.8866 0.1136 1
F3 F 0.1011 0.3866 0.6136 1
F4 F 0.8989 0.6134 0.3864 1
F5 F 0.8989 0.8866 0.8864 1
F6 F 0.6011 0.1134 0.8864 1
F7 F 0.1011 0.1134 0.1136 1
F8 F 0.3989 0.6134 0.6136 1
C1 C 0.2500 0.5000 0.0201 1
C2 C 0.7500 0.5000 0.9799 1
C3 C 0.2500 0.0000 0.5201 1
C4 C 0.7500 0.0000 0.4799 1
# formation energy (no corrections) = -1.767 eV per atom
# total magnetic moment = 0.0 μB per cell
# density of states at the Fermi level = 0.0 states/eV per cell
# electronic total energy = -197.581 eV for the cell shown

---

(3)
# AgAsW2 GGA-PBE relaxed
data_AgAsW2
_cell_length_a 9.3480
_cell_length_b 9.3480
_cell_length_c 9.3480
_cell_angle_alpha 18.21
_cell_angle_beta 18.21
_cell_angle_gamma 18.21
_symmetry_space_group_name_H-M 'P 1'
_symmetry_Int_Tables_number 1
_symmetry_space_group_name_Hall 'P 1'
loop_
_atom_site_label
_atom_site_type_symbol
_atom_site_fract_x
_atom_site_fract_y
_atom_site_fract_z
_atom_site_occupancy
W1 W 0.0026 0.0026 0.0026 1
W2 W 0.2562 0.2562 0.2562 1
As1 As 0.7396 0.7396 0.7396 1
Ag1 Ag 0.5016 0.5016 0.5016 1
# total magnetic moment = 0.0 μB per cell
# density of states at the Fermi level = 1.0 states/eV per cell
# electronic total energy = -31.873 eV for the cell shown
# calculated formation energy = 383.5 meV per atom

---

(4)
# AlIF3 GGA-PBE relaxed
data_AlIF3
_cell_length_a 4.8045
_cell_length_b 4.8045
_cell_length_c 4.8045
_cell_angle_alpha 90.00
_cell_angle_beta 90.00
_cell_angle_gamma 90.00
_symmetry_space_group_name_H-M 'P 1'
_symmetry_Int_Tables_number 1
_symmetry_space_group_name_Hall 'P 1'
loop_
_atom_site_label
_atom_site_type_symbol
_atom_site_fract_x
_atom_site_fract_y
_atom_site_fract_z
_atom_site_occupancy
F1 F 0.5000 0.0000 0.0000 1
F2 F 0.0000 0.0000 0.5000 1
F3 F 0.0000 0.5000 0.0000 1
I1 I 0.0000 0.0000 0.0000 1
Al1 Al 0.5000 0.5000 0.5000 1
# offset from the most stable computed form = 1921 meV/atom
# formation energy (no corrections) = -0.705 eV per atom
# total magnetic moment = 0.0 μB per cell
# density of states at the Fermi level = 1.5 states/eV per cell
# electronic total energy = -14.433 eV for the cell shown

---

(5)
# LiTc2Au GGA-PBE relaxed
data_LiTc2Au
_cell_length_a 5.1821
_cell_length_b 5.1821
_cell_length_c 2.6429
_cell_angle_alpha 89.89
_cell_angle_beta 89.89
_cell_angle_gamma 122.50
_symmetry_space_group_name_H-M 'P 1'
_symmetry_Int_Tables_number 1
_symmetry_space_group_name_Hall 'P 1'
loop_
_atom_site_label
_atom_site_type_symbol
_atom_site_fract_x
_atom_site_fract_y
_atom_site_fract_z
_atom_site_occupancy
Au1 Au 0.5000 0.0000 0.5000 1
Tc1 Tc 0.0000 0.0000 0.0000 1
Tc2 Tc 0.5000 0.5000 0.0000 1
Li1 Li 0.0000 0.5000 0.5000 1
# offset from the most stable computed form = 181 meV/atom
# total magnetic moment = 0.0 μB per cell
# density of states at the Fermi level = 2.6 states/eV per cell
# electronic total energy = -25.043 eV for the cell shown
# calculated formation energy = 220.1 meV per atom

---

(6)
# Sc2PI2 GGA-PBE relaxed
data_Sc2PI2
_cell_length_a 3.9122
_cell_length_b 3.9122
_cell_length_c 11.0571
_cell_angle_alpha 79.81
_cell_angle_beta 79.81
_cell_angle_gamma 60.00
_symmetry_space_group_name_H-M 'P 1'
_symmetry_Int_Tables_number 1
_symmetry_space_group_name_Hall 'P 1'
loop_
_atom_site_label
_atom_site_type_symbol
_atom_site_fract_x
_atom_site_fract_y
_atom_site_fract_z
_atom_site_occupancy
Sc1 Sc 0.3755 0.3755 0.8735 1
Sc2 Sc 0.6245 0.6245 0.1265 1
I1 I 0.7687 0.7687 0.6938 1
I2 I 0.2313 0.2313 0.3062 1
P1 P 0.0000 0.0000 0.0000 1
# formation energy (no corrections) = -1.383 eV per atom
# total magnetic moment = 0.0 μB per cell
# density of states at the Fermi level = 1.7 states/eV per cell
# electronic total energy = -28.090 eV for the cell shown

---

(7)
# Ga2CuBiPb GGA-PBE relaxed
data_Ga2CuBiPb
_cell_length_a 4.8096
_cell_length_b 4.8096
_cell_length_c 5.3905
_cell_angle_alpha 90.00
_cell_angle_beta 90.00
_cell_angle_gamma 90.00
_symmetry_space_group_name_H-M 'P 1'
_symmetry_Int_Tables_number 1
_symmetry_space_group_name_Hall 'P 1'
loop_
_atom_site_label
_atom_site_type_symbol
_atom_site_fract_x
_atom_site_fract_y
_atom_site_fract_z
_atom_site_occupancy
Cu1 Cu 0.0000 0.0000 0.0000 1
Ga1 Ga 0.5000 0.0000 0.0000 1
Ga2 Ga 0.0000 0.5000 0.0000 1
Bi1 Bi 0.5000 0.5000 0.5000 1
Pb1 Pb 0.0000 0.0000 0.5000 1
# offset from the most stable computed form = 0 meV/atom
# total magnetic moment = 0.0 μB per cell
# density of states at the Fermi level = 2.4 states/eV per cell
# electronic total energy = -17.025 eV for the cell shown
# calculated formation energy = 142.8 meV per atom